# 1
# La5PrCd | the Alexandria database | PBE | relaxed
# Calculated density, g/cm3: 6.4
# Energy above the lowest structure with this stoichiometry, kcal/mol of atoms: 0.00
# DOS at the Fermi energy, states/eV/cell: 20.11
# SG: C2/c, No. 15
# Calculated formation energy, kJ/mol of atoms: -1
data_La5PrCd
_symmetry_space_group_name_H-M 'P 1'
_symmetry_Int_Tables_number 1
_symmetry_space_group_name_Hall 'P 1'
_cell_length_a 6.2623
_cell_length_b 6.2623
_cell_length_c 12.8667
_cell_angle_alpha 80.64
_cell_angle_beta 80.64
_cell_angle_gamma 89.47
loop_
_atom_site_label
_atom_site_type_symbol
_atom_site_fract_x
_atom_site_fract_y
_atom_site_fract_z
_atom_site_occupancy
La1 La 0.8854 0.5285 0.1360 1
La2 La 0.2114 0.4875 0.5656 1
La3 La 0.5285 0.8854 0.6360 1
La4 La 0.3607 0.6393 0.2500 1
La5 La 0.5125 0.7886 0.9344 1
La6 La 0.4875 0.2114 0.0656 1
La7 La 0.6393 0.3607 0.7500 1
La8 La 0.4715 0.1146 0.3640 1
La9 La 0.7886 0.5125 0.4344 1
La10 La 0.1146 0.4715 0.8640 1
Pr1 Pr 0.9752 0.0248 0.2500 1
Pr2 Pr 0.0248 0.9752 0.7500 1
Cd1 Cd 0.0000 0.0000 0.0000 1
Cd2 Cd 0.0000 0.0000 0.5000 1

---

# 2
# La6PrCd2 | the Alexandria database | PBE | relaxed
# Calculated density, g/cm3: 6.3
# Energy above the lowest structure with this stoichiometry, kcal/mol of atoms: 3.23
# DOS at the Fermi energy, states/eV/cell: 16.70
# SG: P4/mmm, No. 123
# Calculated formation energy, kJ/mol of atoms: 0
data_La6PrCd2
_symmetry_space_group_name_H-M 'P 1'
_symmetry_Int_Tables_number 1
_symmetry_space_group_name_Hall 'P 1'
_cell_length_a 5.0850
_cell_length_b 5.0850
_cell_length_c 12.1352
_cell_angle_alpha 90.00
_cell_angle_beta 90.00
_cell_angle_gamma 90.00
loop_
_atom_site_label
_atom_site_type_symbol
_atom_site_fract_x
_atom_site_fract_y
_atom_site_fract_z
_atom_site_occupancy
La1 La 0.0000 0.5000 0.2786 1
La2 La 0.5000 0.0000 0.2786 1
La3 La 0.0000 0.5000 0.7214 1
La4 La 0.5000 0.0000 0.7214 1
La5 La 0.5000 0.5000 0.5000 1
La6 La 0.0000 0.0000 0.5000 1
Pr1 Pr 0.0000 0.0000 0.0000 1
Cd1 Cd 0.5000 0.5000 0.1099 1
Cd2 Cd 0.5000 0.5000 0.8901 1